{
  "formula": "Al2Te",
  "functional": "PBE",
  "state": "optimized geometry",
  "sg": "No. 63",
  "raw_formation_energy_ev_per_atom": -0.035,
  "lattice": [[2.0480, -8.7133, 0.0000], [2.0480, 8.7133, 0.0000], [0.0000, 0.0000, 4.2072]],
  "species": ["Al", "Al", "Al", "Al", "Te", "Te"],
  "frac_coords": [[0.0474, 0.9526, 0.7500], [0.4432, 0.5568, 0.7500], [0.5568, 0.4432, 0.2500], [0.9526, 0.0474, 0.2500], [0.3352, 0.6648, 0.2500], [0.6648, 0.3352, 0.7500]]
}


{
  "formula": "AlTe2",
  "functional": "PBE",
  "state": "optimized geometry",
  "sg": "No. 139",
  "raw_formation_energy_ev_per_atom": 0.145,
  "lattice": [[-1.6514, 1.6514, 7.9050], [1.6514, -1.6514, 7.9050], [1.6514, 1.6514, -7.9050]],
  "species": ["Al", "Te", "Te"],
  "frac_coords": [[0.0000, 0.0000, 0.0000], [0.3720, 0.3720, 0.0000], [0.6280, 0.6280, 0.0000]]
}


{
  "formula": "Al2Te",
  "functional": "PBE",
  "state": "optimized geometry",
  "sg": "No. 139",
  "raw_formation_energy_ev_per_atom": 0.158,
  "lattice": [[-1.7294, 1.7294, 5.3800], [1.7294, -1.7294, 5.3800], [1.7294, 1.7294, -5.3800]],
  "species": ["Al", "Al", "Te"],
  "frac_coords": [[0.1799, 0.1799, 0.0000], [0.8201, 0.8201, 0.0000], [0.5000, 0.5000, 0.0000]]
}